No. 1
Entry from Alexandria: crystalline Dy3ErSc5 at its relaxed geometry (PBE-GGA).

crystal system = tetragonal
magnetic moment = 0.000 μB per formula unit
electronic total energy = -5.269 eV/atom

Unit cell a=9.224 b=9.224 c=9.224 alpha=126.28 beta=126.28 gamma=79.43
Atoms (fractional coordinates):
1 Dy 0.119 0.619 0.737
2 Dy 0.250 0.250 0.000
3 Dy 0.381 0.119 0.500
4 Dy 0.619 0.881 0.500
5 Dy 0.750 0.750 0.000
6 Dy 0.881 0.381 0.263
7 Er 0.250 0.750 0.500
8 Er 0.750 0.250 0.500
9 Sc 0.000 0.000 0.000
10 Sc 0.072 0.158 0.500
11 Sc 0.158 0.658 0.087
12 Sc 0.342 0.428 0.500
13 Sc 0.428 0.928 0.087
14 Sc 0.500 0.500 0.000
15 Sc 0.572 0.072 0.913
16 Sc 0.658 0.572 0.500
17 Sc 0.842 0.342 0.913
18 Sc 0.928 0.842 0.500


No. 2
Entry from Alexandria: crystalline TlZnIn2 at its relaxed geometry (PBE-GGA).

crystal system = orthorhombic
magnetic moment = 0.000 μB per formula unit
electronic total energy = -2.148 eV/atom

Unit cell a=6.398 b=9.238 c=3.460 alpha=90.00 beta=90.00 gamma=90.00
Atoms (fractional coordinates):
1 Tl 0.000 0.000 0.000
2 Tl 0.500 0.500 0.000
3 Zn 0.000 0.500 0.000
4 Zn 0.500 0.000 0.000
5 In 0.250 0.250 0.500
6 In 0.250 0.750 0.500
7 In 0.750 0.250 0.500
8 In 0.750 0.750 0.500


Please write out number 1 again, unchanged.
Entry from Alexandria: crystalline Dy3ErSc5 at its relaxed geometry (PBE-GGA).

crystal system = tetragonal
magnetic moment = 0.000 μB per formula unit
electronic total energy = -5.269 eV/atom

Unit cell a=9.224 b=9.224 c=9.224 alpha=126.28 beta=126.28 gamma=79.43
Atoms (fractional coordinates):
1 Dy 0.119 0.619 0.737
2 Dy 0.250 0.250 0.000
3 Dy 0.381 0.119 0.500
4 Dy 0.619 0.881 0.500
5 Dy 0.750 0.750 0.000
6 Dy 0.881 0.381 0.263
7 Er 0.250 0.750 0.500
8 Er 0.750 0.250 0.500
9 Sc 0.000 0.000 0.000
10 Sc 0.072 0.158 0.500
11 Sc 0.158 0.658 0.087
12 Sc 0.342 0.428 0.500
13 Sc 0.428 0.928 0.087
14 Sc 0.500 0.500 0.000
15 Sc 0.572 0.072 0.913
16 Sc 0.658 0.572 0.500
17 Sc 0.842 0.342 0.913
18 Sc 0.928 0.842 0.500